# 1
The following is a DFT calculation (PBE) of crystalline SrNdCl4 at its relaxed geometry.

Output
Final energy (Ha/atom): -0.1669
Space group: C2/c, No. 15
ΔE_f (raw) (eV per atom): -2.24

Unit cell a=7.9822 b=7.9822 c=6.7795 alpha=109.35 beta=109.35 gamma=109.68
With the nearest neighbours (Å) after each atom.
Positions (direct):
1 Sr 0.1362 0.8638 0.7500  8 Cl 3.01-3.11
2 Sr 0.8638 0.1362 0.2500  8 Cl 3.01-3.11
3 Nd 0.4942 0.5058 0.2500  8 Cl 2.93-2.99
4 Nd 0.5058 0.4942 0.7500  8 Cl 2.93-2.99
5 Cl 0.1407 0.2570 0.7591  2 Nd 2.93, 2 Sr 3.01-3.11
6 Cl 0.2066 0.5566 0.4246  2 Nd 2.98-2.99, 2 Sr 3.03-3.06
7 Cl 0.2570 0.1407 0.2591  2 Nd 2.93, 2 Sr 3.01-3.11
8 Cl 0.4434 0.7934 0.0754  2 Nd 2.98-2.99, 2 Sr 3.03-3.06
9 Cl 0.5566 0.2066 0.9246  2 Nd 2.98-2.99, 2 Sr 3.03-3.06
10 Cl 0.7430 0.8593 0.7409  2 Nd 2.93, 2 Sr 3.01-3.11
11 Cl 0.7934 0.4434 0.5754  2 Nd 2.98-2.99, 2 Sr 3.03-3.06
12 Cl 0.8593 0.7430 0.2409  2 Nd 2.93, 2 Sr 3.01-3.11

---

# 2
The following is a DFT calculation (PBE) of crystalline Sr2NdCl at its relaxed geometry.

Output
Final energy (Ha/atom): -0.1119
Space group: R-3m, No. 166
ΔE_f (raw) (eV per atom): -0.55

Unit cell a=3.8595 b=3.8595 c=35.4366 alpha=90.00 beta=90.00 gamma=120.00
With the nearest neighbours (Å) after each atom.
Positions (direct):
1 Sr 0.0000 0.0000 0.1046  3 Cl 3.13
2 Sr 0.0000 0.0000 0.8954  3 Cl 3.13
3 Sr 0.3333 0.6667 0.5620  3 Cl 3.13
4 Sr 0.3333 0.6667 0.7713  3 Cl 3.13
5 Sr 0.6667 0.3333 0.2287  3 Cl 3.13
6 Sr 0.6667 0.3333 0.4380  3 Cl 3.13
7 Nd 0.0000 0.0000 0.0000  2 Sr 3.71, 6 Nd 3.86
8 Nd 0.3333 0.6667 0.6667  2 Sr 3.71, 6 Nd 3.86
9 Nd 0.6667 0.3333 0.3333  2 Sr 3.71, 6 Nd 3.86
10 Cl 0.0000 0.0000 0.5000  6 Sr 3.13
11 Cl 0.3333 0.6667 0.1667  6 Sr 3.13
12 Cl 0.6667 0.3333 0.8333  6 Sr 3.13

---

# 3
The following is a DFT calculation (PBE) of crystalline TbNd3Cl at its relaxed geometry.

Output
Final energy (Ha/atom): -0.1708
Space group: Pm-3m, No. 221
ΔE_f (raw) (eV per atom): -0.49

Unit cell a=5.4705 b=5.4705 c=5.4705 alpha=90.00 beta=90.00 gamma=90.00
With the nearest neighbours (Å) after each atom.
Positions (direct):
1 Tb 0.0000 0.0000 0.0000  12 Nd 3.87
2 Nd 0.0000 0.5000 0.5000  2 Cl 2.74
3 Nd 0.5000 0.0000 0.5000  2 Cl 2.74
4 Nd 0.5000 0.5000 0.0000  2 Cl 2.74
5 Cl 0.5000 0.5000 0.5000  6 Nd 2.74

---

# 4
The following is a DFT calculation (PBE) of crystalline TbNdCl6 at its relaxed geometry.

Output
Final energy (Ha/atom): -0.1766
Space group: C2/m, No. 12
ΔE_f (raw) (eV per atom): -2.25

Unit cell a=6.7855 b=12.5763 c=6.7838 alpha=90.00 beta=105.59 gamma=90.00
With the nearest neighbours (Å) after each atom.
Positions (direct):
1 Tb 0.0000 0.0000 0.0000  6 Cl 2.66-2.68
2 Tb 0.5000 0.5000 0.0000  6 Cl 2.66-2.68
3 Nd 0.0000 0.5000 0.5000  6 Cl 2.74-2.77
4 Nd 0.5000 0.0000 0.5000  6 Cl 2.74-2.77
5 Cl 0.2414 0.1422 0.2439  1 Tb 2.68, 1 Nd 2.77
6 Cl 0.2414 0.8578 0.2439  1 Tb 2.68, 1 Nd 2.77
7 Cl 0.2484 0.0000 0.7561  1 Tb 2.66, 1 Nd 2.74
8 Cl 0.2516 0.5000 0.2439  1 Tb 2.66, 1 Nd 2.74
9 Cl 0.2586 0.3578 0.7561  1 Tb 2.68, 1 Nd 2.77
10 Cl 0.2586 0.6422 0.7561  1 Tb 2.68, 1 Nd 2.77
11 Cl 0.7414 0.3578 0.2439  1 Tb 2.68, 1 Nd 2.77
12 Cl 0.7414 0.6422 0.2439  1 Tb 2.68, 1 Nd 2.77
13 Cl 0.7484 0.5000 0.7561  1 Tb 2.66, 1 Nd 2.74
14 Cl 0.7516 0.0000 0.2439  1 Tb 2.66, 1 Nd 2.74
15 Cl 0.7586 0.1422 0.7561  1 Tb 2.68, 1 Nd 2.77
16 Cl 0.7586 0.8578 0.7561  1 Tb 2.68, 1 Nd 2.77

---

# 5
The following is a DFT calculation (PBE) of crystalline TbNdCl2 at its relaxed geometry.

Output
Final energy (Ha/atom): -0.1694
Space group: R-3m, No. 166
ΔE_f (raw) (eV per atom): -1.34

Unit cell a=3.6505 b=3.6505 c=28.7193 alpha=90.00 beta=90.00 gamma=120.00
With the nearest neighbours (Å) after each atom.
Positions (direct):
1 Tb 0.0000 0.0000 0.0000  2 Cl 2.72
2 Tb 0.3333 0.6667 0.6667  2 Cl 2.72
3 Tb 0.6667 0.3333 0.3333  2 Cl 2.72
4 Nd 0.0000 0.0000 0.5000  6 Cl 2.95
5 Nd 0.3333 0.6667 0.1667  6 Cl 2.95
6 Nd 0.6667 0.3333 0.8333  6 Cl 2.95
7 Cl 0.0000 0.0000 0.0946  1 Tb 2.72, 3 Nd 2.95
8 Cl 0.0000 0.0000 0.9054  1 Tb 2.72, 3 Nd 2.95
9 Cl 0.3333 0.6667 0.5721  1 Tb 2.72, 3 Nd 2.95
10 Cl 0.3333 0.6667 0.7613  1 Tb 2.72, 3 Nd 2.95
11 Cl 0.6667 0.3333 0.2387  1 Tb 2.72, 3 Nd 2.95
12 Cl 0.6667 0.3333 0.4279  1 Tb 2.72, 3 Nd 2.95

---

# 6
The following is a DFT calculation (PBE) of crystalline Tb3NdCl at its relaxed geometry.

Output
Final energy (Ha/atom): -0.1680
Space group: Pm-3m, No. 221
ΔE_f (raw) (eV per atom): -0.47

Unit cell a=5.3381 b=5.3381 c=5.3381 alpha=90.00 beta=90.00 gamma=90.00
With the nearest neighbours (Å) after each atom.
Positions (direct):
1 Tb 0.0000 0.0000 0.5000  2 Cl 2.67
2 Tb 0.0000 0.5000 0.0000  2 Cl 2.67
3 Tb 0.5000 0.0000 0.0000  2 Cl 2.67
4 Nd 0.5000 0.5000 0.5000  12 Tb 3.77
5 Cl 0.0000 0.0000 0.0000  6 Tb 2.67

---

# 7
The following is a DFT calculation (PBE) of crystalline TbNd2Cl8 at its relaxed geometry.

Output
Final energy (Ha/atom): -0.1708
Space group: C2/m, No. 12
ΔE_f (raw) (eV per atom): -2.02

Unit cell a=7.5100 b=7.5100 c=5.7112 alpha=99.93 beta=99.93 gamma=112.36
With the nearest neighbours (Å) after each atom.
Positions (direct):
1 Tb 0.0000 0.0000 0.0000  4 Cl 2.71-2.80
2 Nd 0.3105 0.6895 0.5000  8 Cl 2.78-3.08
3 Nd 0.6895 0.3105 0.5000  8 Cl 2.78-3.08
4 Cl 0.0751 0.3340 0.5980  2 Nd 2.78-2.80
5 Cl 0.2171 0.7829 0.0000  1 Tb 2.71
6 Cl 0.3340 0.0751 0.5980  2 Nd 2.78-2.80
7 Cl 0.3522 0.3522 0.1808  1 Tb 2.80, 2 Nd 3.01
8 Cl 0.6478 0.6478 0.8192  1 Tb 2.80, 2 Nd 3.01
9 Cl 0.6660 0.9249 0.4020  2 Nd 2.78-2.80
10 Cl 0.7829 0.2171 0.0000  1 Tb 2.71
11 Cl 0.9249 0.6660 0.4020  2 Nd 2.78-2.80

---

# 8
The following is a DFT calculation (PBE) of crystalline TbNdCl3 at its relaxed geometry.

Output
Final energy (Ha/atom): -0.1774
Space group: C2/m, No. 12
ΔE_f (raw) (eV per atom): -1.84

Unit cell a=8.1531 b=8.1531 c=10.6777 alpha=118.19 beta=118.19 gamma=27.89
With the nearest neighbours (Å) after each atom.
Positions (direct):
1 Tb 0.0874 0.0874 0.4524  4 Cl 2.76-2.82
2 Tb 0.9126 0.9126 0.5476  4 Cl 2.76-2.82
3 Nd 0.3594 0.3594 0.2082  5 Cl 2.81-2.94
4 Nd 0.6406 0.6406 0.7918  5 Cl 2.81-2.94
5 Cl 0.1562 0.1562 0.0067  3 Nd 2.87-2.94
6 Cl 0.2749 0.2749 0.3863  1 Nd 2.81, 2 Tb 2.82
7 Cl 0.4509 0.4509 0.7497  2 Tb 2.76, 1 Nd 2.81
8 Cl 0.5491 0.5491 0.2503  2 Tb 2.76, 1 Nd 2.81
9 Cl 0.7251 0.7251 0.6137  1 Nd 2.81, 2 Tb 2.82
10 Cl 0.8438 0.8438 0.9933  3 Nd 2.87-2.94

---

# 9
The following is a DFT calculation (PBE) of crystalline TbNdCl6 at its relaxed geometry.

Output
Final energy (Ha/atom): -0.1766
Space group: R-3, No. 148
ΔE_f (raw) (eV per atom): -2.25

Unit cell a=7.3988 b=7.3988 c=7.3988 alpha=55.27 beta=55.27 gamma=55.27
With the nearest neighbours (Å) after each atom.
Positions (direct):
1 Tb 0.0000 0.0000 0.0000  6 Cl 2.67
2 Nd 0.5000 0.5000 0.5000  6 Cl 2.76
3 Cl 0.0990 0.3914 0.7553  1 Tb 2.67, 1 Nd 2.76
4 Cl 0.2447 0.9010 0.6086  1 Tb 2.67, 1 Nd 2.76
5 Cl 0.3914 0.7553 0.0990  1 Tb 2.67, 1 Nd 2.76
6 Cl 0.6086 0.2447 0.9010  1 Tb 2.67, 1 Nd 2.76
7 Cl 0.7553 0.0990 0.3914  1 Tb 2.67, 1 Nd 2.76
8 Cl 0.9010 0.6086 0.2447  1 Tb 2.67, 1 Nd 2.76

---

# 10
The following is a DFT calculation (PBE) of crystalline TbNdTe2Cl at its relaxed geometry.

Output
Final energy (Ha/atom): -0.1882
Space group: P4/nmm, No. 129
ΔE_f (raw) (eV per atom): -1.61

Unit cell a=4.3563 b=4.3563 c=15.0740 alpha=90.00 beta=90.00 gamma=90.00
With the nearest neighbours (Å) after each atom.
Positions (direct):
1 Tb 0.2500 0.2500 0.0840  6 Te 3.12-3.17
2 Tb 0.7500 0.7500 0.9160  6 Te 3.12-3.17
3 Nd 0.2500 0.2500 0.6336  4 Cl 2.97, 4 Te 3.27
4 Nd 0.7500 0.7500 0.3664  4 Cl 2.97, 4 Te 3.27
5 Te 0.2500 0.2500 0.2945  1 Tb 3.17, 4 Nd 3.27
6 Te 0.2500 0.2500 0.8769  5 Tb 3.12-3.14
7 Te 0.7500 0.7500 0.1231  5 Tb 3.12-3.14
8 Te 0.7500 0.7500 0.7055  1 Tb 3.17, 4 Nd 3.27
9 Cl 0.2500 0.7500 0.5000  4 Nd 2.97, 4 Cl 3.08
10 Cl 0.7500 0.2500 0.5000  4 Nd 2.97, 4 Cl 3.08